1.
Here is a geometry-optimized TlTe2Pt structure from Alexandria via LeMat-Bulk. Energies are from GGA-PBE.

Summary:
M_tot   0.0 Bohr magnetons per cell

Cell: 5.5799 5.5799 3.2051 Å, 90.00 90.00 89.96°
With the nearest neighbours (Å) after each atom.
Fractional coordinates of all 4 atoms:
Te: 0.5000 0.5000 0.0000  2 Te 3.21, 4 Pt 3.22, 4 Tl 3.22
Pt: 0.0000 0.5000 0.5000  2 Pt 3.21, 8 Te 3.22
Te: 0.0000 0.0000 0.0000  2 Te 3.21, 4 Tl 3.22, 4 Pt 3.22
Tl: 0.5000 0.0000 0.5000  2 Tl 3.21, 8 Te 3.22


2.
Here is a geometry-optimized TlTe2Pt structure from Alexandria via LeMat-Bulk. Energies are from GGA-PBE.

Summary:
M_tot   0.0 Bohr magnetons per cell

Cell: 4.0137 3.0765 8.7171 Å, 100.81 90.00 90.00°
With the nearest neighbours (Å) after each atom.
Fractional coordinates of all 4 atoms:
Te: 0.5000 0.1937 0.2466  4 Te 3.08-3.22, 2 Tl 3.33
Tl: 0.0000 0.3348 0.5568  4 Pt 2.99, 2 Tl 3.08, 2 Te 3.33
Pt: 0.5000 0.9333 0.7437  2 Te 2.69, 4 Tl 2.99
Te: 0.0000 0.0381 0.9530  2 Pt 2.69


Number 1: DOS(E_F) 0.608 states/eV/atom, E_form (uncorrected) 0.248 eV/atom. Number 2: DOS(E_F) 0.580 states/eV/atom, E_form (uncorrected) -0.001 eV/atom.